(i)
RbMgHg2Pd | PBE-GGA | optimized geometry

Its theoretical density is 6.8 Mg/m³.

It has space group P4/mmm (No. 123), with a = 5.446 Å, b = 5.446 Å, c = 5.091 Å, α = 90.00°, β = 90.00° and γ = 90.00°. The distinct sites, in fractional coordinates, are Rb at (0.000, 0.000, 0.000), Mg at (0.500, 0.500, 0.000), Hg at (0.000, 0.500, 0.500) and Pd at (0.500, 0.500, 0.500).


(ii)
RbMgHg2Pd | PBE-GGA | optimized geometry

Its theoretical density is 3.5 Mg/m³.

It has space group P4/mmm (No. 123), with a = 6.502 Å, b = 6.502 Å, c = 6.978 Å, α = 90.00°, β = 90.00° and γ = 90.00°. The distinct sites, in fractional coordinates, are Rb at (0.000, 0.000, 0.000), Mg at (0.000, 0.000, 0.500), Hg at (0.000, 0.500, 0.000) and Pd at (0.500, 0.500, 0.500).


Name the least stable of them. (ii).


(i)
Pm4MgHg2 | PBE-GGA | optimized geometry

Its theoretical density is 7.9 Mg/m³.

It has space group P2_1/m (No. 11), with a = 7.237 Å, b = 6.912 Å, c = 8.972 Å, α = 90.00°, β = 109.42° and γ = 90.00°. The distinct sites, in fractional coordinates, are Pm at (0.030, 0.250, 0.412), Pm at (0.131, 0.750, 0.273), Pm at (0.394, 0.021, 0.768), Mg at (0.203, 0.250, 0.093), Hg at (0.223, 0.750, 0.965) and Hg at (0.469, 0.250, 0.456).


(ii)
Pm4MgHg2 | PBE-GGA | optimized geometry

Its theoretical density is 7.9 Mg/m³.

It has space group Cmmm (No. 65), with a = 7.831 Å, b = 10.565 Å, c = 5.133 Å, α = 90.00°, β = 90.00° and γ = 90.00°. The distinct sites, in fractional coordinates, are Pm at (0.230, 0.000, 0.000), Pm at (0.250, 0.250, 0.500), Mg at (0.000, 0.500, 0.500) and Hg at (0.000, 0.269, 0.000).


Name the least stable of them. (i).


(i)
PmMgHg2 | PBE-GGA | optimized geometry

Its theoretical density is 9.8 Mg/m³.

It has space group P4/mmm (No. 123), with a = 3.591 Å, b = 3.591 Å, c = 7.524 Å, α = 90.00°, β = 90.00° and γ = 90.00°. The distinct sites, in fractional coordinates, are Pm at (0.000, 0.000, 0.000), Mg at (0.000, 0.000, 0.500) and Hg at (0.500, 0.500, 0.275).


(ii)
PmMgHg2 | PBE-GGA | optimized geometry

Its theoretical density is 9.8 Mg/m³.

It has space group Fm-3m (No. 225), with a = 7.288 Å, b = 7.288 Å, c = 7.288 Å, α = 90.00°, β = 90.00° and γ = 90.00°. The distinct sites, in fractional coordinates, are Pm at (0.000, 0.000, 0.000), Mg at (0.000, 0.000, 0.500) and Hg at (0.250, 0.250, 0.250).


Name the least stable of them. (i).


(i)
PmMg3Hg3 | PBE-GGA | optimized geometry

Its theoretical density is 8.2 Mg/m³.

It has space group P6_3/m (No. 176), with a = 8.7633 Å, b = 8.7633 Å, c = 4.9903 Å, α = 90.00°, β = 90.00° and γ = 120.00°. The distinct sites, in fractional coordinates, are Pm at (0.3333, 0.6667, 0.2500), Mg at (0.0025, 0.7726, 0.2500) and Hg at (0.0787, 0.6307, 0.7500).


(ii)
PmMg3Hg3 | PBE-GGA | optimized geometry

Its theoretical density is 6.5 Mg/m³.

It has space group Pm-3n (No. 223), with a = 7.469 Å, b = 7.469 Å, c = 7.469 Å, α = 90.00°, β = 90.00° and γ = 90.00°. The distinct sites, in fractional coordinates, are Pm at (0.000, 0.000, 0.000), Mg at (0.000, 0.250, 0.500) and Hg at (0.000, 0.500, 0.250).


Name the least stable of them. (ii).


(i)
Pm2Mg2Hg | PBE-GGA | optimized geometry

Its theoretical density is 6.5 Mg/m³.

It has space group C2/m (No. 12), with a = 9.107 Å, b = 5.253 Å, c = 6.471 Å, α = 90.00°, β = 117.82° and γ = 90.00°. The distinct sites, in fractional coordinates, are Pm at (0.101, 0.000, 0.302), Mg at (0.179, 0.500, 0.036) and Hg at (0.000, 0.500, 0.500).


(ii)
Pm2Mg2Hg | PBE-GGA | optimized geometry

Its theoretical density is 6.7 Mg/m³.

It has space group C2/m (No. 12), with a = 11.343 Å, b = 5.185 Å, c = 9.516 Å, α = 90.00°, β = 107.37° and γ = 90.00°. The distinct sites, in fractional coordinates, are Pm at (0.029, 0.000, 0.344), Pm at (0.168, 0.000, 0.070), Mg at (0.020, 0.500, 0.858), Mg at (0.146, 0.500, 0.573) and Hg at (0.237, 0.500, 0.302).


Name the least stable of them. (ii).


(i)
PmMg2Hg | PBE-GGA | optimized geometry

Its theoretical density is 7.0 Mg/m³.

It has space group Fm-3m (No. 225), with a = 7.209 Å, b = 7.209 Å, c = 7.209 Å, α = 90.00°, β = 90.00° and γ = 90.00°. The distinct sites, in fractional coordinates, are Pm at (0.000, 0.000, 0.000), Mg at (0.250, 0.250, 0.250) and Hg at (0.000, 0.000, 0.500).


(ii)
PmMg2Hg | PBE-GGA | optimized geometry

Its theoretical density is 6.2 Mg/m³.

It has space group R3m (No. 160, hexagonal axes), with a = 3.5093 Å, b = 3.5093 Å, c = 29.6259 Å, α = 90.00°, β = 90.00° and γ = 120.00°. The distinct sites, in fractional coordinates, are Pm at (0.0000, 0.0000, 0.0000), Mg at (0.0000, 0.0000, 0.5719), Mg at (0.0000, 0.0000, 0.7603) and Hg at (0.0000, 0.0000, 0.1661).


(iii)
PmMg2Hg | PBE-GGA | optimized geometry

Its theoretical density is 6.4 Mg/m³.

It has space group P4/mmm (No. 123), with a = 4.544 Å, b = 4.544 Å, c = 4.916 Å, α = 90.00°, β = 90.00° and γ = 90.00°. The distinct sites, in fractional coordinates, are Pm at (0.000, 0.000, 0.000), Mg at (0.000, 0.500, 0.500) and Hg at (0.500, 0.500, 0.000).


(iv)
PmMg2Hg | PBE-GGA | optimized geometry

Its theoretical density is 6.7 Mg/m³.

It has space group I-4m2 (No. 119), with a = 5.175 Å, b = 5.175 Å, c = 7.271 Å, α = 90.00°, β = 90.00° and γ = 90.00°. The distinct sites, in fractional coordinates, are Pm at (0.000, 0.000, 0.000), Mg at (0.000, 0.000, 0.500), Mg at (0.000, 0.500, 0.750) and Hg at (0.000, 0.500, 0.250).


Name the least stable of them. (ii).


(i)
Pm3Mg3Hg2 | PBE-GGA | optimized geometry

Its theoretical density is 6.9 Mg/m³.

It has space group Pnma (No. 62), with a = 8.698 Å, b = 17.119 Å, c = 5.873 Å, α = 90.00°, β = 90.00° and γ = 90.00°. The distinct sites, in fractional coordinates, are Pm at (0.040, 0.109, 0.112), Pm at (0.154, 0.250, 0.671), Mg at (0.178, 0.750, 0.676), Mg at (0.182, 0.033, 0.603) and Hg at (0.110, 0.617, 0.384).


(ii)
Pm3Mg3Hg2 | PBE-GGA | optimized geometry

Its theoretical density is 6.9 Mg/m³.

It has space group Cmcm (No. 63), with a = 4.842 Å, b = 11.032 Å, c = 16.342 Å, α = 90.00°, β = 90.00° and γ = 90.00°. The distinct sites, in fractional coordinates, are Pm at (0.000, 0.070, 0.113), Pm at (0.000, 0.336, 0.250), Mg at (0.000, 0.369, 0.036), Mg at (0.000, 0.372, 0.750) and Hg at (0.000, 0.216, 0.612).


Name the least stable of them. (i).


(i)
PmMg4Hg2 | PBE-GGA | optimized geometry

Its theoretical density is 6.3 Mg/m³.

It has space group Cmmm (No. 65), with a = 4.406 Å, b = 17.584 Å, c = 4.388 Å, α = 90.00°, β = 90.00° and γ = 90.00°. The distinct sites, in fractional coordinates, are Pm at (0.000, 0.000, 0.000), Mg at (0.000, 0.182, 0.500), Mg at (0.000, 0.316, 0.000) and Hg at (0.000, 0.419, 0.500).


(ii)
PmMg4Hg2 | PBE-GGA | optimized geometry

Its theoretical density is 6.4 Mg/m³.

It has space group P4_2/mnm (No. 136), with a = 8.446 Å, b = 8.446 Å, c = 4.650 Å, α = 90.00°, β = 90.00° and γ = 90.00°. The distinct sites, in fractional coordinates, are Pm at (0.000, 0.000, 0.000), Mg at (0.094, 0.343, 0.500) and Hg at (0.214, 0.786, 0.500).


Name the least stable of them. (i).